Record 1
## VInHg2 (PBE)

Data for a relaxed VInHg2 crystal.

POSCAR file:
```
VInHg2
1.0
-3.965 3.965 2.967
3.965 -3.965 2.967
3.965 3.965 -2.967
V In Hg
2 2 4
Direct
0.000 0.000 0.000
0.750 0.250 0.500
0.250 0.750 0.500
0.500 0.500 0.000
0.104 0.625 0.979
0.375 0.354 0.479
0.646 0.125 0.021
0.875 0.896 0.521
```

Record 2
## V2In2Hg (PBE)

Data for a relaxed V2In2Hg crystal.

POSCAR file:
```
V2In2Hg
1.0
-2.043 2.043 6.178
2.043 -2.043 6.178
2.043 2.043 -6.178
V In Hg
2 2 1
Direct
0.077 0.077 0.000
0.923 0.923 0.000
0.250 0.750 0.500
0.750 0.250 0.500
0.500 0.500 0.000
```

As for the energy relative to the lowest polymorph listed for this composition: 1.14 eV/f.u.

Record 3
## V3InHg (PBE)

Data for a relaxed V3InHg crystal.

POSCAR file:
```
V3InHg
1.0
5.122 0.000 0.000
0.000 5.122 0.000
0.000 0.000 5.122
V In Hg
3 1 1
Direct
0.000 0.000 0.500
0.000 0.500 0.000
0.500 0.000 0.000
0.000 0.000 0.000
0.500 0.500 0.500
```

As for the energy relative to the lowest polymorph listed for this composition: 0.23 eV/f.u.

Record 4
## VIn3Hg (PBE)

Data for a relaxed VIn3Hg crystal.

POSCAR file:
```
VIn3Hg
1.0
5.365 0.000 0.000
0.000 5.365 0.000
0.000 0.000 5.365
V In Hg
1 3 1
Direct
0.000 0.000 0.000
0.000 0.000 0.500
0.000 0.500 0.000
0.500 0.000 0.000
0.500 0.500 0.500
```

As for the energy relative to the lowest polymorph listed for this composition: 0.00 eV/f.u.

Record 5
## V3InHg (PBE)

Data for a relaxed V3InHg crystal.

POSCAR file:
```
V3InHg
1.0
5.045 0.000 0.000
0.000 5.045 0.000
0.000 0.000 5.045
V In Hg
3 1 1
Direct
0.000 0.000 0.500
0.000 0.500 0.000
0.500 0.000 0.000
0.500 0.500 0.500
0.000 0.000 0.000
```

As for the energy relative to the lowest polymorph listed for this composition: 0.00 eV/f.u.

Record 6
## VIn3Hg (PBE)

Data for a relaxed VIn3Hg crystal.

POSCAR file:
```
VIn3Hg
1.0
5.471 0.000 0.000
0.000 5.471 0.000
0.000 0.000 5.471
V In Hg
1 3 1
Direct
0.000 0.000 0.000
0.000 0.500 0.500
0.500 0.000 0.500
0.500 0.500 0.000
0.500 0.500 0.500
```

As for the energy relative to the lowest polymorph listed for this composition: 2.70 eV/f.u.

Record 7
## VInHg2 (PBE)

Data for a relaxed VInHg2 crystal.

POSCAR file:
```
VInHg2
1.0
1.605 0.927 10.971
-1.605 0.927 10.971
0.000 -1.853 10.971
V In Hg
1 1 2
Direct
0.000 0.000 0.000
0.500 0.500 0.500
0.084 0.084 0.084
0.916 0.916 0.916
```

Record 8
## VZnIn2Hg (PBE)

Data for a relaxed VZnIn2Hg crystal.

POSCAR file:
```
VZnIn2Hg
1.0
5.378 0.000 0.000
0.000 5.378 0.000
0.000 0.000 5.348
V Zn In Hg
1 1 2 1
Direct
0.000 0.000 0.000
0.500 0.500 0.500
0.000 0.500 0.000
0.500 0.000 0.000
0.000 0.000 0.500
```

Record 9
## InHg3W (PBE)

Data for a relaxed InHg3W crystal.

POSCAR file:
```
InHg3W
1.0
5.361 0.000 0.000
0.000 5.361 0.000
0.000 0.000 5.361
In Hg W
1 3 1
Direct
0.000 0.000 0.000
0.000 0.500 0.500
0.500 0.000 0.500
0.500 0.500 0.000
0.500 0.500 0.500
```

As for the energy relative to the lowest polymorph listed for this composition: 0.00 eV/f.u.

Record 10
## InHg2W (PBE)

Data for a relaxed InHg2W crystal.

POSCAR file:
```
InHg2W
1.0
3.723 0.000 0.000
0.000 3.723 0.000
0.000 0.000 5.965
In Hg W
1 2 1
Direct
0.000 0.000 0.000
0.500 0.500 0.264
0.500 0.500 0.736
0.000 0.000 0.500
```

Record 11
## InHgW (PBE)

Data for a relaxed InHgW crystal.

POSCAR file:
```
InHgW
1.0
0.000 3.296 3.296
3.296 0.000 3.296
3.296 3.296 0.000
In Hg W
1 1 1
Direct
0.000 0.000 0.000
0.500 0.500 0.500
0.250 0.250 0.250
```

As for the energy relative to the lowest polymorph listed for this composition: 1.49 eV/f.u.

Record 12
## InHg2W (PBE)

Data for a relaxed InHg2W crystal.

POSCAR file:
```
InHg2W
1.0
-2.041 2.041 4.886
2.041 -2.041 4.886
2.041 2.041 -4.886
In Hg W
1 2 1
Direct
0.000 0.000 0.000
0.250 0.750 0.500
0.750 0.250 0.500
0.500 0.500 0.000
```

Ordered E results: -10.72; -21.58; -22.50; -15.56; -22.73; -12.86; -10.20; -13.05; -11.96; -12.93; -12.51; -13.12; unit eV per formula unit.